w | This record from Alexandria via LeMat-Bulk describes crystalline Ca2CuMo at its relaxed geometry. The functional is PBE.

Values from the calculation:
- DOS at the Fermi energy (states/eV/cell) = 3.675

a = 4.310 Å, b = 6.004 Å, c = 6.004 Å
α = 40.22°, β = 90.00°, γ = 90.00°
Element x y z (fractional)
Ca 0.000 0.000 0.000
Ca 0.500 0.299 0.299
Cu 0.500 0.592 0.592
Mo 0.000 0.702 0.702

x | This record from Alexandria via LeMat-Bulk describes crystalline Ca2CuMo at its relaxed geometry. The functional is PBE.

Values from the calculation:
- DOS at the Fermi energy (states/eV/cell) = 4.109

a = 9.783 Å, b = 9.783 Å, c = 9.783 Å
α = 19.26°, β = 19.26°, γ = 19.26°
Element x y z (fractional)
Ca 0.247 0.247 0.247
Ca 0.753 0.753 0.753
Cu 0.500 0.500 0.500
Mo 0.000 0.000 0.000

y | This record from Alexandria via LeMat-Bulk describes crystalline Ca2CuMo at its relaxed geometry. The functional is PBE.

Values from the calculation:
- DOS at the Fermi energy (states/eV/cell) = 4.713

a = 3.289 Å, b = 3.289 Å, c = 8.765 Å
α = 90.00°, β = 90.00°, γ = 90.00°
Element x y z (fractional)
Ca 0.000 0.000 0.000
Ca 0.500 0.500 0.383
Cu 0.000 0.000 0.613
Mo 0.500 0.500 0.748

z | This record from Alexandria via LeMat-Bulk describes crystalline Ca2CuMo at its relaxed geometry. The functional is PBE.

Values from the calculation:
- DOS at the Fermi energy (states/eV/cell) = 2.603

a = 5.121 Å, b = 5.121 Å, c = 5.121 Å
α = 60.00°, β = 60.00°, γ = 60.00°
Element x y z (fractional)
Ca 0.250 0.250 0.250
Ca 0.750 0.750 0.750
Cu 0.000 0.000 0.000
Mo 0.500 0.500 0.500

y has the most favorable energy; the next structure is 75 meV/atom above.

w | This record from Alexandria via LeMat-Bulk describes crystalline Ca3CuMo at its relaxed geometry. The functional is PBE.

Values from the calculation:
- DOS at the Fermi energy (states/eV/cell) = 3.191

a = 5.419 Å, b = 5.419 Å, c = 5.419 Å
α = 90.00°, β = 90.00°, γ = 90.00°
Element x y z (fractional)
Ca 0.000 0.000 0.500
Ca 0.000 0.500 0.000
Ca 0.500 0.000 0.000
Cu 0.500 0.500 0.500
Mo 0.000 0.000 0.000

x | This record from Alexandria via LeMat-Bulk describes crystalline Ca3CuMo at its relaxed geometry. The functional is PBE.

Values from the calculation:
- DOS at the Fermi energy (states/eV/cell) = 2.645

a = 5.454 Å, b = 5.454 Å, c = 5.454 Å
α = 90.00°, β = 90.00°, γ = 90.00°
Element x y z (fractional)
Ca 0.000 0.000 0.500
Ca 0.000 0.500 0.000
Ca 0.500 0.000 0.000
Cu 0.000 0.000 0.000
Mo 0.500 0.500 0.500

x has the most favorable energy; the next structure is 240 meV/atom above.

w | This record from Alexandria via LeMat-Bulk describes crystalline CaCu2Mo at its relaxed geometry. The functional is PBE.

Values from the calculation:
- DOS at the Fermi energy (states/eV/cell) = 3.845

a = 4.808 Å, b = 4.808 Å, c = 2.862 Å
α = 90.00°, β = 90.00°, γ = 90.00°
Element x y z (fractional)
Ca 0.000 0.000 0.000
Cu 0.000 0.500 0.500
Cu 0.500 0.000 0.500
Mo 0.500 0.500 0.000

x | This record from Alexandria via LeMat-Bulk describes crystalline CaCu2Mo at its relaxed geometry. The functional is PBE.

Values from the calculation:
- DOS at the Fermi energy (states/eV/cell) = 3.697

a = 5.240 Å, b = 5.240 Å, c = 5.240 Å
α = 136.11°, β = 136.11°, γ = 63.80°
Element x y z (fractional)
Ca 0.000 0.000 0.000
Cu 0.250 0.750 0.500
Cu 0.500 0.500 0.000
Mo 0.750 0.250 0.500

w has the most favorable energy; the next structure is 230 meV/atom above.

w | This record from Alexandria via LeMat-Bulk describes crystalline CaCu2Mo at its relaxed geometry. The functional is PBE.

Values from the calculation:
- DOS at the Fermi energy (states/eV/cell) = 5.727

a = 9.401 Å, b = 9.401 Å, c = 9.401 Å
α = 151.44°, β = 151.44°, γ = 40.83°
Element x y z (fractional)
Ca 0.000 0.000 0.000
Ca 0.750 0.250 0.500
Cu 0.323 0.625 0.198
Cu 0.375 0.573 0.698
Cu 0.427 0.125 0.802
Cu 0.875 0.677 0.302
Mo 0.250 0.750 0.500
Mo 0.500 0.500 0.000

x | This record from Alexandria via LeMat-Bulk describes crystalline CaCu2Mo at its relaxed geometry. The functional is PBE.

Values from the calculation:
- DOS at the Fermi energy (states/eV/cell) = 3.864

a = 5.292 Å, b = 5.292 Å, c = 4.936 Å
α = 106.61°, β = 106.61°, γ = 29.79°
Element x y z (fractional)
Ca 0.000 0.000 0.000
Cu 0.461 0.461 0.487
Cu 0.761 0.761 0.161
Mo 0.210 0.210 0.619

x has the most favorable energy; the next structure is 480 meV/atom above.

w | This record from Alexandria via LeMat-Bulk describes crystalline CaCu2Mo at its relaxed geometry. The functional is PBE.

Values from the calculation:
- DOS at the Fermi energy (states/eV/cell) = 3.273

a = 4.546 Å, b = 4.546 Å, c = 6.018 Å
α = 96.99°, β = 96.99°, γ = 36.02°
Element x y z (fractional)
Ca 0.000 0.000 0.000
Cu 0.242 0.242 0.676
Cu 0.758 0.758 0.324
Mo 0.500 0.500 0.500

x | This record from Alexandria via LeMat-Bulk describes crystalline CaCu2Mo at its relaxed geometry. The functional is PBE.

Values from the calculation:
- DOS at the Fermi energy (states/eV/cell) = 4.572

a = 9.105 Å, b = 9.105 Å, c = 9.105 Å
α = 18.67°, β = 18.67°, γ = 18.67°
Element x y z (fractional)
Ca 0.000 0.000 0.000
Cu 0.493 0.493 0.493
Cu 0.757 0.757 0.757
Mo 0.236 0.236 0.236

y | This record from Alexandria via LeMat-Bulk describes crystalline CaCu2Mo at its relaxed geometry. The functional is PBE.

Values from the calculation:
- DOS at the Fermi energy (states/eV/cell) = 4.722

a = 9.432 Å, b = 9.432 Å, c = 9.432 Å
α = 17.61°, β = 17.61°, γ = 17.61°
Element x y z (fractional)
Ca 0.000 0.000 0.000
Cu 0.244 0.244 0.244
Cu 0.756 0.756 0.756
Mo 0.500 0.500 0.500

w has the most favorable energy; the next structure is 165 meV/atom above.

w | This record from Alexandria via LeMat-Bulk describes crystalline CaCu2Mo at its relaxed geometry. The functional is PBE.

Values from the calculation:
- DOS at the Fermi energy (states/eV/cell) = 2.691

a = 4.570 Å, b = 4.570 Å, c = 4.570 Å
α = 60.00°, β = 60.00°, γ = 60.00°
Element x y z (fractional)
Ca 0.000 0.000 0.000
Cu 0.500 0.500 0.500
Cu 0.750 0.750 0.750
Mo 0.250 0.250 0.250

x | This record from Alexandria via LeMat-Bulk describes crystalline CaCu2Mo at its relaxed geometry. The functional is PBE.

Values from the calculation:
- DOS at the Fermi energy (states/eV/cell) = 2.299

a = 2.884 Å, b = 2.884 Å, c = 7.985 Å
α = 90.00°, β = 90.00°, γ = 90.00°
Element x y z (fractional)
Ca 0.000 0.000 0.000
Cu 0.000 0.000 0.465
Cu 0.500 0.500 0.285
Mo 0.500 0.500 0.686

x has the most favorable energy; the next structure is 318 meV/atom above.

w | This record from Alexandria via LeMat-Bulk describes crystalline CaCu2Mo at its relaxed geometry. The functional is PBE.

Values from the calculation:
- DOS at the Fermi energy (states/eV/cell) = 4.078

a = 5.724 Å, b = 5.724 Å, c = 5.724 Å
α = 152.32°, β = 129.76°, γ = 58.33°
Element x y z (fractional)
Ca 0.000 0.000 0.000
Cu 0.268 0.768 0.500
Cu 0.476 0.476 0.000
Mo 0.708 0.208 0.500

x | This record from Alexandria via LeMat-Bulk describes crystalline CaCu2Mo at its relaxed geometry. The functional is PBE.

Values from the calculation:
- DOS at the Fermi energy (states/eV/cell) = 4.124

a = 2.852 Å, b = 3.690 Å, c = 6.542 Å
α = 90.00°, β = 90.00°, γ = 90.00°
Element x y z (fractional)
Ca 0.000 0.000 0.000
Cu 0.500 0.500 0.304
Cu 0.500 0.500 0.696
Mo 0.000 0.000 0.500

y | This record from Alexandria via LeMat-Bulk describes crystalline CaCu2Mo at its relaxed geometry. The functional is PBE.

Values from the calculation:
- DOS at the Fermi energy (states/eV/cell) = 3.664

a = 4.624 Å, b = 4.624 Å, c = 4.624 Å
α = 60.00°, β = 60.00°, γ = 60.00°
Element x y z (fractional)
Ca 0.000 0.000 0.000
Cu 0.250 0.250 0.250
Cu 0.750 0.750 0.750
Mo 0.500 0.500 0.500

x has the most favorable energy; the next structure is 119 meV/atom above.

w | This record from Alexandria via LeMat-Bulk describes crystalline CaCu3N at its relaxed geometry. The functional is PBE.

Values from the calculation:
- DOS at the Fermi energy (states/eV/cell) = 3.615

a = 5.380 Å, b = 5.380 Å, c = 5.380 Å
α = 90.00°, β = 90.00°, γ = 90.00°
Element x y z (fractional)
Ca 0.000 0.000 0.000
Cu 0.000 0.000 0.500
Cu 0.000 0.500 0.000
Cu 0.500 0.000 0.000
N 0.500 0.500 0.500

x | This record from Alexandria via LeMat-Bulk describes crystalline CaCu3N at its relaxed geometry. The functional is PBE.

Values from the calculation:
- DOS at the Fermi energy (states/eV/cell) = 2.075

a = 4.164 Å, b = 4.164 Å, c = 4.164 Å
α = 90.00°, β = 90.00°, γ = 90.00°
Element x y z (fractional)
Ca 0.000 0.000 0.000
Cu 0.000 0.500 0.500
Cu 0.500 0.000 0.500
Cu 0.500 0.500 0.000
N 0.500 0.500 0.500

x has the most favorable energy; the next structure is 1899 meV/atom above.

w | This record from Alexandria via LeMat-Bulk describes crystalline CaCuSN2 at its relaxed geometry. The functional is PBE.

Values from the calculation:
- DOS at the Fermi energy (states/eV/cell) = 8.537

a = 4.292 Å, b = 4.292 Å, c = 5.323 Å
α = 90.00°, β = 90.00°, γ = 90.00°
Element x y z (fractional)
Ca 0.000 0.000 0.000
Cu 0.500 0.500 0.500
S 0.000 0.000 0.500
N 0.000 0.500 0.000
N 0.500 0.000 0.000

x | This record from Alexandria via LeMat-Bulk describes crystalline CaCuSN2 at its relaxed geometry. The functional is PBE.

Values from the calculation:
- DOS at the Fermi energy (states/eV/cell) = 4.661

a = 3.898 Å, b = 3.898 Å, c = 4.695 Å
α = 90.00°, β = 90.00°, γ = 90.00°
Element x y z (fractional)
Ca 0.000 0.000 0.000
Cu 0.500 0.500 0.500
S 0.500 0.500 0.000
N 0.000 0.500 0.500
N 0.500 0.000 0.500

x has the most favorable energy; the next structure is 1212 meV/atom above.

w | This record from Alexandria via LeMat-Bulk describes crystalline CaCuSeN2 at its relaxed geometry. The functional is PBE.

Values from the calculation:
- DOS at the Fermi energy (states/eV/cell) = 1.836

a = 4.445 Å, b = 4.445 Å, c = 5.879 Å
α = 90.00°, β = 90.00°, γ = 90.00°
Element x y z (fractional)
Ca 0.000 0.000 0.000
Cu 0.500 0.500 0.500
Se 0.000 0.000 0.500
N 0.000 0.500 0.000
N 0.500 0.000 0.000

x | This record from Alexandria via LeMat-Bulk describes crystalline CaCuSeN2 at its relaxed geometry. The functional is PBE.

Values from the calculation:
- DOS at the Fermi energy (states/eV/cell) = 4.385

a = 3.967 Å, b = 3.967 Å, c = 4.880 Å
α = 90.00°, β = 90.00°, γ = 90.00°
Element x y z (fractional)
Ca 0.000 0.000 0.000
Cu 0.500 0.500 0.500
Se 0.500 0.500 0.000
N 0.000 0.500 0.500
N 0.500 0.000 0.500

x has the most favorable energy; the next structure is 800 meV/atom above.

w | This record from Alexandria via LeMat-Bulk describes crystalline CaCuTeN2 at its relaxed geometry. The functional is PBE.

Values from the calculation:
- DOS at the Fermi energy (states/eV/cell) = 2.311

a = 4.168 Å, b = 4.168 Å, c = 5.304 Å
α = 90.00°, β = 90.00°, γ = 90.00°
Element x y z (fractional)
Ca 0.000 0.000 0.000
Cu 0.500 0.500 0.500
Te 0.500 0.500 0.000
N 0.000 0.500 0.500
N 0.500 0.000 0.500

x | This record from Alexandria via LeMat-Bulk describes crystalline CaCuTeN2 at its relaxed geometry. The functional is PBE.

Values from the calculation:
- DOS at the Fermi energy (states/eV/cell) = 2.055

a = 4.455 Å, b = 4.455 Å, c = 6.460 Å
α = 90.00°, β = 90.00°, γ = 90.00°
Element x y z (fractional)
Ca 0.000 0.000 0.000
Cu 0.500 0.500 0.500
Te 0.000 0.000 0.500
N 0.000 0.500 0.000
N 0.500 0.000 0.000

w has the most favorable energy; the next structure is 544 meV/atom above.

w | This record from Alexandria via LeMat-Bulk describes crystalline NaCaCu at its relaxed geometry. The functional is PBE.

Values from the calculation:
- DOS at the Fermi energy (states/eV/cell) = 3.418

a = 10.201 Å, b = 10.201 Å, c = 4.203 Å
α = 90.00°, β = 90.00°, γ = 157.12°
Element x y z (fractional)
Na 0.198 0.802 0.750
Na 0.802 0.198 0.250
Ca 0.421 0.579 0.750
Ca 0.579 0.421 0.250
Cu 0.033 0.967 0.750
Cu 0.967 0.033 0.250

x | This record from Alexandria via LeMat-Bulk describes crystalline NaCaCu at its relaxed geometry. The functional is PBE.

Values from the calculation:
- DOS at the Fermi energy (states/eV/cell) = 1.544

a = 6.905 Å, b = 6.905 Å, c = 6.905 Å
α = 149.98°, β = 149.98°, γ = 42.97°
Element x y z (fractional)
Na 0.000 0.000 0.000
Ca 0.271 0.271 0.000
Cu 0.646 0.646 0.000

w has the most favorable energy; the next structure is 169 meV/atom above.